P.
Computed, not measured: YCuHgAs after structural relaxation at the PBE level of DFT.

abc: 6.9159 6.9159 6.9159
angles: 90.00 90.00 90.00
Space group F-43m (No. 216)
Inequivalent atoms, fractional coordinates:
Y1 0.0000 0.0000 0.0000 [4 per cell]
Cu1 0.0000 0.0000 0.5000 [4 per cell]
Hg1 0.2500 0.2500 0.7500 [4 per cell]
As1 0.2500 0.2500 0.2500 [4 per cell]

Summary:
The density comes out at 8.6 Mg/m³. The total magnetization is 0.0 μB per formula unit.



Q.
Computed, not measured: YCuHgAs after structural relaxation at the PBE level of DFT.

abc: 6.9540 6.9540 6.9540
angles: 90.00 90.00 90.00
Space group F-43m (No. 216)
Inequivalent atoms, fractional coordinates:
Y1 0.0000 0.0000 0.0000 [4 per cell]
Cu1 0.2500 0.2500 0.7500 [4 per cell]
Hg1 0.2500 0.2500 0.2500 [4 per cell]
As1 0.0000 0.0000 0.5000 [4 per cell]

Summary:
The density comes out at 8.5 Mg/m³. The total magnetization is 0.0 μB per formula unit.



Most stable to least stable, the ends of the list are P and Q.



P.
Computed, not measured: NbCuAsIr after structural relaxation at the PBE level of DFT.

abc: 6.3124 6.3124 6.3124
angles: 90.00 90.00 90.00
Space group F-43m (No. 216)
Inequivalent atoms, fractional coordinates:
Nb1 0.0000 0.0000 0.0000 [4 per cell]
Cu1 0.2500 0.2500 0.7500 [4 per cell]
As1 0.0000 0.0000 0.5000 [4 per cell]
Ir1 0.2500 0.2500 0.2500 [4 per cell]

Summary:
The density comes out at 11.2 Mg/m³. The total magnetization is 0.0 μB per formula unit.



Q.
Computed, not measured: NbCuAsIr after structural relaxation at the PBE level of DFT.

abc: 6.2871 6.2871 6.2871
angles: 90.00 90.00 90.00
Space group F-43m (No. 216)
Inequivalent atoms, fractional coordinates:
Nb1 0.0000 0.0000 0.0000 [4 per cell]
Cu1 0.0000 0.0000 0.5000 [4 per cell]
As1 0.2500 0.2500 0.2500 [4 per cell]
Ir1 0.2500 0.2500 0.7500 [4 per cell]

Summary:
The density comes out at 11.3 Mg/m³. The total magnetization is 0.0 μB per formula unit.



Most stable to least stable, the ends of the list are Q and P.



P.
Computed, not measured: CuNiAsIr after structural relaxation at the PBE level of DFT.

abc: 6.0041 6.0041 6.0041
angles: 90.00 90.00 90.00
Space group F-43m (No. 216)
Inequivalent atoms, fractional coordinates:
Cu1 0.0000 0.0000 0.0000 [4 per cell]
Ni1 0.0000 0.0000 0.5000 [4 per cell]
As1 0.2500 0.2500 0.7500 [4 per cell]
Ir1 0.2500 0.2500 0.2500 [4 per cell]

Summary:
The density comes out at 11.9 Mg/m³. The total magnetization is 0.0 μB per formula unit.



Q.
Computed, not measured: CuNiAsIr after structural relaxation at the PBE level of DFT.

abc: 5.9859 5.9859 5.9859
angles: 90.00 90.00 90.00
Space group F-43m (No. 216)
Inequivalent atoms, fractional coordinates:
Cu1 0.0000 0.0000 0.0000 [4 per cell]
Ni1 0.2500 0.2500 0.2500 [4 per cell]
As1 0.2500 0.2500 0.7500 [4 per cell]
Ir1 0.0000 0.0000 0.5000 [4 per cell]

Summary:
The density comes out at 12.1 Mg/m³. The total magnetization is 0.0 μB per formula unit.



Most stable to least stable, the ends of the list are Q and P.



P.
Computed, not measured: ScCuAsIr after structural relaxation at the PBE level of DFT.

abc: 6.2493 6.2493 6.2493
angles: 90.00 90.00 90.00
Space group F-43m (No. 216)
Inequivalent atoms, fractional coordinates:
Sc1 0.0000 0.0000 0.0000 [4 per cell]
Cu1 0.2500 0.2500 0.7500 [4 per cell]
As1 0.2500 0.2500 0.2500 [4 per cell]
Ir1 0.0000 0.0000 0.5000 [4 per cell]

Summary:
The density comes out at 10.2 Mg/m³. The total magnetization is 0.0 μB per formula unit.



Q.
Computed, not measured: ScCuAsIr after structural relaxation at the PBE level of DFT.

abc: 6.2989 6.2989 6.2989
angles: 90.00 90.00 90.00
Space group F-43m (No. 216)
Inequivalent atoms, fractional coordinates:
Sc1 0.0000 0.0000 0.0000 [4 per cell]
Cu1 0.2500 0.2500 0.7500 [4 per cell]
As1 0.0000 0.0000 0.5000 [4 per cell]
Ir1 0.2500 0.2500 0.2500 [4 per cell]

Summary:
The density comes out at 10.0 Mg/m³. The total magnetization is 0.0 μB per formula unit.



Most stable to least stable, the ends of the list are P and Q.



P.
Computed, not measured: TlCuAsIr after structural relaxation at the PBE level of DFT.

abc: 6.5037 6.5037 6.5037
angles: 90.00 90.00 90.00
Space group F-43m (No. 216)
Inequivalent atoms, fractional coordinates:
Tl1 0.0000 0.0000 0.0000 [4 per cell]
Cu1 0.2500 0.2500 0.7500 [4 per cell]
As1 0.0000 0.0000 0.5000 [4 per cell]
Ir1 0.2500 0.2500 0.2500 [4 per cell]

Summary:
The density comes out at 12.9 Mg/m³. The total magnetization is 0.0 μB per formula unit.



Q.
Computed, not measured: TlCuAsIr after structural relaxation at the PBE level of DFT.

abc: 6.5194 6.5194 6.5194
angles: 90.00 90.00 90.00
Space group F-43m (No. 216)
Inequivalent atoms, fractional coordinates:
Tl1 0.0000 0.0000 0.0000 [4 per cell]
Cu1 0.2500 0.2500 0.7500 [4 per cell]
As1 0.2500 0.2500 0.2500 [4 per cell]
Ir1 0.0000 0.0000 0.5000 [4 per cell]

Summary:
The density comes out at 12.8 Mg/m³. The total magnetization is 0.0 μB per formula unit.



Most stable to least stable, the ends of the list are P and Q.



P.
Computed, not measured: ZnCuAsIr after structural relaxation at the PBE level of DFT.

abc: 6.1368 6.1368 6.1368
angles: 90.00 90.00 90.00
Space group F-43m (No. 216)
Inequivalent atoms, fractional coordinates:
Zn1 0.0000 0.0000 0.0000 [4 per cell]
Cu1 0.2500 0.2500 0.7500 [4 per cell]
As1 0.0000 0.0000 0.5000 [4 per cell]
Ir1 0.2500 0.2500 0.2500 [4 per cell]

Summary:
The density comes out at 11.4 Mg/m³. The total magnetization is 0.0 μB per formula unit.



Q.
Computed, not measured: ZnCuAsIr after structural relaxation at the PBE level of DFT.

abc: 6.1865 6.1865 6.1865
angles: 90.00 90.00 90.00
Space group F-43m (No. 216)
Inequivalent atoms, fractional coordinates:
Zn1 0.0000 0.0000 0.0000 [4 per cell]
Cu1 0.0000 0.0000 0.5000 [4 per cell]
As1 0.2500 0.2500 0.2500 [4 per cell]
Ir1 0.2500 0.2500 0.7500 [4 per cell]

Summary:
The density comes out at 11.1 Mg/m³. The total magnetization is 0.0 μB per formula unit.



Most stable to least stable, the ends of the list are P and Q.



P.
Computed, not measured: LiNbCuAs after structural relaxation at the PBE level of DFT.

abc: 6.1839 6.1839 6.1839
angles: 90.00 90.00 90.00
Space group F-43m (No. 216)
Inequivalent atoms, fractional coordinates:
Li1 0.0000 0.0000 0.0000 [4 per cell]
Nb1 0.2500 0.2500 0.7500 [4 per cell]
Cu1 0.0000 0.0000 0.5000 [4 per cell]
As1 0.2500 0.2500 0.2500 [4 per cell]

Summary:
The density comes out at 6.7 Mg/m³. The total magnetization is 1.8 μB per formula unit.



Q.
Computed, not measured: LiNbCuAs after structural relaxation at the PBE level of DFT.

abc: 6.1373 6.1373 6.1373
angles: 90.00 90.00 90.00
Space group F-43m (No. 216)
Inequivalent atoms, fractional coordinates:
Li1 0.0000 0.0000 0.0000 [4 per cell]
Nb1 0.2500 0.2500 0.2500 [4 per cell]
Cu1 0.2500 0.2500 0.7500 [4 per cell]
As1 0.0000 0.0000 0.5000 [4 per cell]

Summary:
The density comes out at 6.8 Mg/m³. The total magnetization is 0.3 μB per formula unit.



Most stable to least stable, the ends of the list are Q and P.



P.
Computed, not measured: LiCuAsOs after structural relaxation at the PBE level of DFT.

abc: 5.9204 5.9204 5.9204
angles: 90.00 90.00 90.00
Space group F-43m (No. 216)
Inequivalent atoms, fractional coordinates:
Li1 0.0000 0.0000 0.0000 [4 per cell]
Cu1 0.2500 0.2500 0.7500 [4 per cell]
As1 0.0000 0.0000 0.5000 [4 per cell]
Os1 0.2500 0.2500 0.2500 [4 per cell]

Summary:
The density comes out at 10.7 Mg/m³. The total magnetization is 0.0 μB per formula unit.



Q.
Computed, not measured: LiCuAsOs after structural relaxation at the PBE level of DFT.

abc: 5.9984 5.9984 5.9984
angles: 90.00 90.00 90.00
Space group F-43m (No. 216)
Inequivalent atoms, fractional coordinates:
Li1 0.0000 0.0000 0.0000 [4 per cell]
Cu1 0.0000 0.0000 0.5000 [4 per cell]
As1 0.2500 0.2500 0.2500 [4 per cell]
Os1 0.2500 0.2500 0.7500 [4 per cell]

Summary:
The density comes out at 10.3 Mg/m³. The total magnetization is 0.0 μB per formula unit.



Most stable to least stable, the ends of the list are P and Q.



P.
Computed, not measured: LiCuTcAs after structural relaxation at the PBE level of DFT.

abc: 6.0224 6.0224 6.0224
angles: 90.00 90.00 90.00
Space group F-43m (No. 216)
Inequivalent atoms, fractional coordinates:
Li1 0.0000 0.0000 0.0000 [4 per cell]
Cu1 0.0000 0.0000 0.5000 [4 per cell]
Tc1 0.2500 0.2500 0.7500 [4 per cell]
As1 0.2500 0.2500 0.2500 [4 per cell]

Summary:
The density comes out at 7.4 Mg/m³. The total magnetization is 1.5 μB per formula unit.



Q.
Computed, not measured: LiCuTcAs after structural relaxation at the PBE level of DFT.

abc: 5.9130 5.9130 5.9130
angles: 90.00 90.00 90.00
Space group F-43m (No. 216)
Inequivalent atoms, fractional coordinates:
Li1 0.0000 0.0000 0.0000 [4 per cell]
Cu1 0.2500 0.2500 0.7500 [4 per cell]
Tc1 0.2500 0.2500 0.2500 [4 per cell]
As1 0.0000 0.0000 0.5000 [4 per cell]

Summary:
The density comes out at 7.8 Mg/m³. The total magnetization is 0.0 μB per formula unit.



Most stable to least stable, the ends of the list are Q and P.



P.
Computed, not measured: LiCuAsW after structural relaxation at the PBE level of DFT.

abc: 6.1195 6.1195 6.1195
angles: 90.00 90.00 90.00
Space group F-43m (No. 216)
Inequivalent atoms, fractional coordinates:
Li1 0.0000 0.0000 0.0000 [4 per cell]
Cu1 0.0000 0.0000 0.5000 [4 per cell]
As1 0.2500 0.2500 0.2500 [4 per cell]
W1 0.2500 0.2500 0.7500 [4 per cell]

Summary:
The density comes out at 9.5 Mg/m³. The total magnetization is 1.4 μB per formula unit.



Q.
Computed, not measured: LiCuAsW after structural relaxation at the PBE level of DFT.

abc: 6.0241 6.0241 6.0241
angles: 90.00 90.00 90.00
Space group F-43m (No. 216)
Inequivalent atoms, fractional coordinates:
Li1 0.0000 0.0000 0.0000 [4 per cell]
Cu1 0.2500 0.2500 0.7500 [4 per cell]
As1 0.0000 0.0000 0.5000 [4 per cell]
W1 0.2500 0.2500 0.2500 [4 per cell]

Summary:
The density comes out at 10.0 Mg/m³. The total magnetization is 0.0 μB per formula unit.



Most stable to least stable, the ends of the list are Q and P.



P.
Computed, not measured: LuCuReAs after structural relaxation at the PBE level of DFT.

abc: 6.4241 6.4241 6.4241
angles: 90.00 90.00 90.00
Space group F-43m (No. 216)
Inequivalent atoms, fractional coordinates:
Lu1 0.0000 0.0000 0.0000 [4 per cell]
Cu1 0.2500 0.2500 0.7500 [4 per cell]
Re1 0.2500 0.2500 0.2500 [4 per cell]
As1 0.0000 0.0000 0.5000 [4 per cell]

Summary:
The density comes out at 12.5 Mg/m³. The total magnetization is 0.0 μB per formula unit.



Q.
Computed, not measured: LuCuReAs after structural relaxation at the PBE level of DFT.

abc: 6.5135 6.5135 6.5135
angles: 90.00 90.00 90.00
Space group F-43m (No. 216)
Inequivalent atoms, fractional coordinates:
Lu1 0.0000 0.0000 0.0000 [4 per cell]
Cu1 0.0000 0.0000 0.5000 [4 per cell]
Re1 0.2500 0.2500 0.7500 [4 per cell]
As1 0.2500 0.2500 0.2500 [4 per cell]

Summary:
The density comes out at 12.0 Mg/m³. The total magnetization is 0.0 μB per formula unit.



Most stable to least stable, the ends of the list are P and Q.



P.
Computed, not measured: LuCuTcAs after structural relaxation at the PBE level of DFT.

abc: 6.5014 6.5014 6.5014
angles: 90.00 90.00 90.00
Space group F-43m (No. 216)
Inequivalent atoms, fractional coordinates:
Lu1 0.0000 0.0000 0.0000 [4 per cell]
Cu1 0.0000 0.0000 0.5000 [4 per cell]
Tc1 0.2500 0.2500 0.7500 [4 per cell]
As1 0.2500 0.2500 0.2500 [4 per cell]

Summary:
The density comes out at 9.9 Mg/m³. The total magnetization is 0.7 μB per formula unit.



Q.
Computed, not measured: LuCuTcAs after structural relaxation at the PBE level of DFT.

abc: 6.3856 6.3856 6.3856
angles: 90.00 90.00 90.00
Space group F-43m (No. 216)
Inequivalent atoms, fractional coordinates:
Lu1 0.0000 0.0000 0.0000 [4 per cell]
Cu1 0.2500 0.2500 0.7500 [4 per cell]
Tc1 0.2500 0.2500 0.2500 [4 per cell]
As1 0.0000 0.0000 0.5000 [4 per cell]

Summary:
The density comes out at 10.5 Mg/m³. The total magnetization is 0.0 μB per formula unit.



Most stable to least stable, the ends of the list are Q and P.